## ZrAu3 (GGA-PBEsol)

Data for a relaxed structure of ZrAu3.

**Magnetic moment**: 0.0 Bohr magnetons per cell
**Energy**: -138.54 eV/cell

Structure (POSCAR):
```
ZrAu3
1.0
4.8871 0.0000 0.0000
0.0000 6.0430 0.0000
0.0000 0.0000 14.4007
Au Zr
18 6
Cartesian
3.2559 4.5513 2.4003
3.2559 4.5513 12.0004
3.2571 4.5509 7.2004
1.6300 4.5135 0.0000
1.6312 4.5132 9.6006
1.6312 4.5132 4.8001
4.0921 3.0215 0.0000
4.0937 3.0215 9.6008
4.0937 3.0215 4.7999
3.2559 1.4917 2.4003
3.2559 1.4917 12.0004
3.2571 1.4920 7.2004
1.6300 1.5295 0.0000
1.6312 1.5298 9.6006
1.6312 1.5298 4.8001
0.7950 0.0000 7.2004
0.7933 0.0000 2.4005
0.7933 0.0000 12.0002
0.7937 3.0215 7.2004
0.7926 3.0215 2.3996
0.7926 3.0215 12.0011
4.0934 0.0000 0.0000
4.0945 0.0000 9.5999
4.0945 0.0000 4.8008
```